Below is a geometry-optimized NbIO2 structure, with properties calculated at the GGA-PBEsol level.

Calculated values
The calculation puts the energy relative to the elements, uncorrected at -1.915 eV per atom. Its space group is Pnma, No. 62.

Cell: 20.8730 3.7790 3.9272 Å, 90.00 90.00 90.00°
Closest atoms and distances in Å follow each position.
Sites, in units of the cell vectors:
1 Nb 0.0673 0.2500 0.0404  3 O 1.83-2.04
2 Nb 0.4327 0.7500 0.5404  3 O 1.83-2.04
3 Nb 0.5673 0.2500 0.4596  3 O 1.83-2.04
4 Nb 0.9327 0.7500 0.9596  3 O 1.83-2.04
5 I 0.1755 0.7500 0.9949  2 Nb 2.95, 1 O 2.99
6 I 0.3245 0.2500 0.4949  2 Nb 2.95, 1 O 2.99
7 I 0.6755 0.7500 0.5051  2 Nb 2.95, 1 O 2.99
8 I 0.8245 0.2500 0.0051  2 Nb 2.95, 1 O 2.99
9 O 0.0322 0.7500 0.9922  3 Nb 2.04-2.08
10 O 0.0749 0.2500 0.5047  1 Nb 1.83
11 O 0.4251 0.7500 0.0047  1 Nb 1.83
12 O 0.4678 0.2500 0.4922  3 Nb 2.04-2.08
13 O 0.5322 0.7500 0.5078  3 Nb 2.04-2.08
14 O 0.5749 0.2500 0.9953  1 Nb 1.83
15 O 0.9251 0.7500 0.4953  1 Nb 1.83
16 O 0.9678 0.2500 0.0078  3 Nb 2.04-2.08